# 1
Here is crystalline ZrMnPb2 at its relaxed geometry from Alexandria via LeMat-Bulk. Energies are from GGA-PBE.

Output
N(E_F): 2.1 states/eV per cell
crystal system: tetragonal
polymorph energy (0 for the lowest one): 0.108 eV/atom

CIF file:
```
data_ZrMnPb2
_chemical_formula_sum 'Zr1 Mn1 Pb2'
_cell_length_a 3.272
_cell_length_b 3.272
_cell_length_c 8.447
_cell_angle_alpha 90.00
_cell_angle_beta 90.00
_cell_angle_gamma 90.00
_space_group_name_H-M_alt 'P 1'
_space_group_IT_number 1
loop_
_space_group_symop_operation_xyz
'x,y,z'
loop_
_atom_site_label
_atom_site_type_symbol
_atom_site_fract_x
_atom_site_fract_y
_atom_site_fract_z
_atom_site_occupancy
Zr1 Zr 0.000 0.000 0.000 1
Mn1 Mn 0.000 0.000 0.500 1
Pb1 Pb 0.500 0.500 0.269 1
Pb2 Pb 0.500 0.500 0.731 1
```

***

# 2
Here is crystalline ReOsRu3 at its relaxed geometry from Alexandria via LeMat-Bulk. Energies are from GGA-PBE.

Output
N(E_F): 9.5 states/eV per cell
crystal system: triclinic
polymorph energy (0 for the lowest one): 0.000 eV/atom

CIF file:
```
data_ReOsRu3
_chemical_formula_sum 'Re2 Os2 Ru6'
_cell_length_a 2.716
_cell_length_b 6.077
_cell_length_c 9.037
_cell_angle_alpha 101.64
_cell_angle_beta 90.03
_cell_angle_gamma 102.83
_space_group_name_H-M_alt 'P 1'
_space_group_IT_number 1
loop_
_space_group_symop_operation_xyz
'x,y,z'
loop_
_atom_site_label
_atom_site_type_symbol
_atom_site_fract_x
_atom_site_fract_y
_atom_site_fract_z
_atom_site_occupancy
Re1 Re 0.250 0.001 0.250 1
Re2 Re 0.750 0.999 0.750 1
Os1 Os 0.049 0.598 0.652 1
Os2 Os 0.951 0.402 0.348 1
Ru1 Ru 0.151 0.803 0.950 1
Ru2 Ru 0.350 0.199 0.549 1
Ru3 Ru 0.451 0.402 0.849 1
Ru4 Ru 0.549 0.598 0.151 1
Ru5 Ru 0.650 0.801 0.451 1
Ru6 Ru 0.849 0.197 0.050 1
```